1.
VASP calculation (PBE-GGA) on a relaxed structure of GeHPd2Br.

Structure (POSCAR):
```
GeHPd2Br
1.0
4.028 0.000 0.000
0.000 4.829 0.000
0.000 0.000 4.028
Pd H Ge Br
2 1 1 1
direct
0.000 0.000 0.500
0.500 0.000 0.000
0.000 0.000 0.000
0.000 0.500 0.000
0.500 0.500 0.500
```

Output
Uncorrected energy   -3.795 eV per atom
Spin magnetization   0.000 μB/atom
Mass density   7.8 g/cm³



2.
VASP calculation (PBE-GGA) on a relaxed structure of Ga3CoIr.

Structure (POSCAR):
```
Ga3CoIr
1.0
-4.376 -2.701 -0.987
-1.244 -4.116 2.989
-8.634 4.714 8.482
Ir Ga Co
4 12 4
direct
0.700 0.221 0.648
0.779 0.300 0.852
0.221 0.700 0.148
0.300 0.779 0.352
0.763 0.663 0.136
0.169 0.265 0.673
0.265 0.169 0.173
0.245 0.775 0.943
0.755 0.225 0.057
0.831 0.735 0.327
0.735 0.831 0.827
0.337 0.237 0.364
0.663 0.763 0.636
0.237 0.337 0.864
0.225 0.755 0.557
0.775 0.245 0.443
0.500 0.000 0.000
0.232 0.768 0.750
0.000 0.500 0.500
0.768 0.232 0.250
```

Output
Spin magnetization   0.041 μB/atom
Calculated formation energy   -0.134 eV/atom
Relative energy among the computed polymorphs   3.83 kcal/mol of atoms
Mass density   10.3 g/cm³



3.
VASP calculation (PBE-GGA) on a relaxed structure of DyBiPb2.

Structure (POSCAR):
```
DyBiPb2
1.0
-3.502 0.867 3.531
-3.347 -2.089 -2.807
0.979 -4.289 2.024
Pb Dy Bi
2 1 1
direct
0.000 0.500 0.000
0.000 0.000 0.500
0.500 0.500 0.500
0.500 0.000 0.000
```

Output
Spin magnetization   0.000 μB/atom
Calculated formation energy   -0.297 eV/atom
Mass density   11.0 g/cm³



4.
VASP calculation (PBE-GGA) on a relaxed structure of AcPr2Te.

Structure (POSCAR):
```
AcPr2Te
1.0
4.021 0.000 0.000
0.000 4.021 0.000
0.000 0.000 8.490
Pr Te Ac
2 1 1
direct
0.000 0.000 0.712
0.000 0.000 0.288
0.500 0.500 0.500
0.500 0.500 0.000
```

Output
Spin magnetization   0.000 μB/atom
Relative energy among the computed polymorphs   0.00 kcal/mol of atoms
Uncorrected formation energy   -0.6381 eV per atom
Mass density   7.7 g/cm³